An optimized crystal structure of TlPb4Cl, computed with PBE.

Summary:
D(E_F)   5.8 states/eV per cell
M_tot   0.000 μB per atom
E_form (uncorrected)   -6 kJ/mol of formula units

a = 6.5394 Å, b = 6.5394 Å, c = 6.5394 Å
α = 60.00°, β = 60.00°, γ = 60.00°
Element x y z (fractional)
Tl: 0.0000 0.0000 0.0000
Pb: 0.3746 0.3746 0.3746
Pb: 0.3746 0.3746 0.8763
Pb: 0.3746 0.8763 0.3746
Pb: 0.8763 0.3746 0.3746
Cl: 0.7500 0.7500 0.7500